[1]
VASP calculation (PBE) on a relaxed AsP2Ru crystal.

Calculated volume = 16.01 A^3/atom
Raw total energy = -0.4507 Ry per atom
Fermi-level density of states = 0.45 states/eV per atom
Crystal system = monoclinic

```
data_AsP2Ru
_space_group_name_H-M_alt 'P 1'
_space_group_IT_number 1
_space_group_name_Hall 'P 1'
_cell_length_a 4.2095
_cell_length_b 3.8033
_cell_length_c 4.0912
_cell_angle_alpha 77.81
_cell_angle_beta 90.00
_cell_angle_gamma 90.00
loop_
_atom_site_label
_atom_site_type_symbol
_atom_site_fract_x
_atom_site_fract_y
_atom_site_fract_z
P1 P 0.0000 0.0221 0.0803
P2 P 0.0000 0.4779 0.4197
As1 As 0.5000 0.7500 0.7500
Ru1 Ru 0.5000 0.2500 0.2500
```



[2]
VASP calculation (PBE) on a relaxed LaGa2BiPt crystal.

Calculated volume = 26.96 A^3/atom
Fermi-level density of states = 0.21 states/eV per atom
Polymorph energy (0 for the lowest one) = 0.00 eV per formula unit
Crystal system = tetragonal

```
data_LaGa2BiPt
_space_group_name_H-M_alt 'P 1'
_space_group_IT_number 1
_space_group_name_Hall 'P 1'
_cell_length_a 4.8862
_cell_length_b 4.8862
_cell_length_c 5.6470
_cell_angle_alpha 90.00
_cell_angle_beta 90.00
_cell_angle_gamma 90.00
loop_
_atom_site_label
_atom_site_type_symbol
_atom_site_fract_x
_atom_site_fract_y
_atom_site_fract_z
La1 La 0.0000 0.0000 0.5000
Pt1 Pt 0.0000 0.0000 0.0000
Ga1 Ga 0.5000 0.0000 0.0000
Ga2 Ga 0.0000 0.5000 0.0000
Bi1 Bi 0.5000 0.5000 0.5000
```



[3]
VASP calculation (PBE) on a relaxed PaSi2Ru crystal.

Calculated volume = 17.30 A^3/atom
Formation energy from raw total energies = -0.767 eV/atom
Fermi-level density of states = 0.78 states/eV per atom
Crystal system = orthorhombic

```
data_PaSi2Ru
_space_group_name_H-M_alt 'P 1'
_space_group_IT_number 1
_space_group_name_Hall 'P 1'
_cell_length_a 4.0568
_cell_length_b 6.7550
_cell_length_c 10.1024
_cell_angle_alpha 90.00
_cell_angle_beta 90.00
_cell_angle_gamma 90.00
loop_
_atom_site_label
_atom_site_type_symbol
_atom_site_fract_x
_atom_site_fract_y
_atom_site_fract_z
Pa1 Pa 0.7500 0.6654 0.6270
Pa2 Pa 0.2500 0.8346 0.1270
Pa3 Pa 0.2500 0.3346 0.3730
Pa4 Pa 0.7500 0.1654 0.8730
Si1 Si 0.7500 0.7096 0.9192
Si2 Si 0.2500 0.7904 0.4192
Si3 Si 0.2500 0.8551 0.8224
Si4 Si 0.7500 0.2096 0.5808
Si5 Si 0.2500 0.3551 0.6776
Si6 Si 0.2500 0.2904 0.0808
Si7 Si 0.7500 0.6449 0.3224
Si8 Si 0.7500 0.1449 0.1776
Ru1 Ru 0.2500 0.5043 0.8891
Ru2 Ru 0.7500 0.9957 0.3891
Ru3 Ru 0.7500 0.4957 0.1109
Ru4 Ru 0.2500 0.0043 0.6109
```



[4]
VASP calculation (PBE) on a relaxed LaY crystal.

Calculated volume = 34.67 A^3/atom
Fermi-level density of states = 1.68 states/eV per atom
Polymorph energy (0 for the lowest one) = 0.04 eV per formula unit
Crystal system = tetragonal

```
data_LaY
_space_group_name_H-M_alt 'P 1'
_space_group_IT_number 1
_space_group_name_Hall 'P 1'
_cell_length_a 3.7203
_cell_length_b 3.7203
_cell_length_c 5.0094
_cell_angle_alpha 90.00
_cell_angle_beta 90.00
_cell_angle_gamma 90.00
loop_
_atom_site_label
_atom_site_type_symbol
_atom_site_fract_x
_atom_site_fract_y
_atom_site_fract_z
La1 La 0.0000 0.0000 0.0000
Y1 Y 0.5000 0.5000 0.5000
```



[5]
VASP calculation (PBE) on a relaxed Mg2SiTc crystal.

Calculated volume = 15.97 A^3/atom
Formation energy from raw total energies = 0.142 eV/atom
Fermi-level density of states = 0.38 states/eV per atom
Crystal system = monoclinic

```
data_Mg2SiTc
_space_group_name_H-M_alt 'P 1'
_space_group_IT_number 1
_space_group_name_Hall 'P 1'
_cell_length_a 4.5281
_cell_length_b 2.7715
_cell_length_c 5.2954
_cell_angle_alpha 74.00
_cell_angle_beta 90.00
_cell_angle_gamma 90.00
loop_
_atom_site_label
_atom_site_type_symbol
_atom_site_fract_x
_atom_site_fract_y
_atom_site_fract_z
Tc1 Tc 0.5000 0.7500 0.7500
Mg1 Mg 0.0000 0.4488 0.5015
Mg2 Mg 0.0000 0.0512 0.9985
Si1 Si 0.5000 0.2500 0.2500
```



[6]
VASP calculation (PBE) on a relaxed Zn2SiB2Rh5 crystal.

Calculated volume = 12.39 A^3/atom
Formation energy from raw total energies = -0.520 eV/atom
Fermi-level density of states = 0.26 states/eV per atom
Crystal system = tetragonal

```
data_Zn2SiB2Rh5
_space_group_name_H-M_alt 'P 1'
_space_group_IT_number 1
_space_group_name_Hall 'P 1'
_cell_length_a 2.8563
_cell_length_b 9.3152
_cell_length_c 9.3152
_cell_angle_alpha 90.00
_cell_angle_beta 90.00
_cell_angle_gamma 90.00
loop_
_atom_site_label
_atom_site_type_symbol
_atom_site_fract_x
_atom_site_fract_y
_atom_site_fract_z
B1 B 0.0000 0.3733 0.1267
B2 B 0.0000 0.1267 0.6267
B3 B 0.0000 0.8733 0.3733
B4 B 0.0000 0.6267 0.8733
Rh1 Rh 0.5000 0.4224 0.2936
Rh2 Rh 0.5000 0.0000 0.5000
Rh3 Rh 0.5000 0.7936 0.9224
Rh4 Rh 0.5000 0.5000 0.0000
Rh5 Rh 0.5000 0.2064 0.0776
Rh6 Rh 0.5000 0.0776 0.7936
Rh7 Rh 0.5000 0.5776 0.7064
Rh8 Rh 0.5000 0.7064 0.4224
Rh9 Rh 0.5000 0.9224 0.2064
Rh10 Rh 0.5000 0.2936 0.5776
Zn1 Zn 0.0000 0.1736 0.3264
Zn2 Zn 0.0000 0.8264 0.6736
Zn3 Zn 0.0000 0.6736 0.1736
Zn4 Zn 0.0000 0.3264 0.8264
Si1 Si 0.0000 0.5000 0.5000
Si2 Si 0.0000 0.0000 0.0000
```



[7]
VASP calculation (PBE) on a relaxed La6Tl2Ge crystal.

Calculated volume = 32.77 A^3/atom
Raw total energy = -0.3482 Ry per atom
Fermi-level density of states = 1.19 states/eV per atom
Crystal system = hexagonal

```
data_La6Tl2Ge
_space_group_name_H-M_alt 'P 1'
_space_group_IT_number 1
_space_group_name_Hall 'P 1'
_cell_length_a 4.5189
_cell_length_b 8.6817
_cell_length_c 8.6818
_cell_angle_alpha 120.00
_cell_angle_beta 90.00
_cell_angle_gamma 90.00
loop_
_atom_site_label
_atom_site_type_symbol
_atom_site_fract_x
_atom_site_fract_y
_atom_site_fract_z
Ge1 Ge 0.5000 0.0002 0.0000
La1 La 0.0000 0.9999 0.2548
La2 La 0.5000 0.3949 0.3949
La3 La 0.5000 0.0000 0.6051
La4 La 0.0000 0.2552 0.0000
La5 La 0.5000 0.6048 0.0000
La6 La 0.0000 0.7450 0.7452
Tl1 Tl 0.0000 0.6667 0.3335
Tl2 Tl 0.0000 0.3332 0.6665
```



[8]
VASP calculation (PBE) on a relaxed Li3La crystal.

Calculated volume = 26.28 A^3/atom
Fermi-level density of states = 0.80 states/eV per atom
Polymorph energy (0 for the lowest one) = 0.78 eV per formula unit
Crystal system = hexagonal

```
data_Li3La
_space_group_name_H-M_alt 'P 1'
_space_group_IT_number 1
_space_group_name_Hall 'P 1'
_cell_length_a 7.0420
_cell_length_b 7.0420
_cell_length_c 9.7909
_cell_angle_alpha 90.00
_cell_angle_beta 90.00
_cell_angle_gamma 120.00
loop_
_atom_site_label
_atom_site_type_symbol
_atom_site_fract_x
_atom_site_fract_y
_atom_site_fract_z
Li1 Li 0.5000 0.5000 0.0000
Li2 Li 0.1968 0.3937 0.7500
Li3 Li 0.3937 0.1968 0.2500
Li4 Li 0.1968 0.8032 0.7500
Li5 Li 0.0000 0.5000 0.5000
Li6 Li 0.0000 0.5000 0.0000
Li7 Li 0.5000 0.5000 0.5000
Li8 Li 0.8032 0.6063 0.2500
Li9 Li 0.8032 0.1968 0.2500
Li10 Li 0.6063 0.8032 0.7500
Li11 Li 0.5000 0.0000 0.0000
Li12 Li 0.5000 0.0000 0.5000
La1 La 0.0000 0.0000 0.0000
La2 La 0.6667 0.3333 0.7500
La3 La 0.0000 0.0000 0.5000
La4 La 0.3333 0.6667 0.2500
```



[9]
VASP calculation (PBE) on a relaxed Ho2Th3ScSe6 crystal.

Calculated volume = 24.41 A^3/atom
Formation energy from raw total energies = -1.597 eV/atom
Fermi-level density of states = 0.70 states/eV per atom
Crystal system = monoclinic

```
data_Ho2Th3ScSe6
_space_group_name_H-M_alt 'P 1'
_space_group_IT_number 1
_space_group_name_Hall 'P 1'
_cell_length_a 3.9900
_cell_length_b 8.4584
_cell_length_c 9.4091
_cell_angle_alpha 108.83
_cell_angle_beta 102.24
_cell_angle_gamma 90.00
loop_
_atom_site_label
_atom_site_type_symbol
_atom_site_fract_x
_atom_site_fract_y
_atom_site_fract_z
Sc1 Sc 0.5000 0.0000 0.0000
Se1 Se 0.3287 0.4281 0.6574
Se2 Se 0.6583 0.0893 0.3166
Se3 Se 0.6713 0.5719 0.3426
Se4 Se 0.0028 0.2299 0.0055
Se5 Se 0.9972 0.7701 0.9945
Se6 Se 0.3417 0.9107 0.6834
Th1 Th 0.8322 0.1670 0.6644
Th2 Th 0.1678 0.8330 0.3356
Th3 Th 0.5000 0.5000 0.0000
Ho1 Ho 0.1654 0.3309 0.3309
Ho2 Ho 0.8346 0.6691 0.6691
```



[10]
VASP calculation (PBE) on a relaxed Nd6DySc8 crystal.

Calculated volume = 29.37 A^3/atom
Raw total energy = -0.3974 Ry per atom
Fermi-level density of states = 1.64 states/eV per atom
Crystal system = trigonal

```
data_Nd6DySc8
_space_group_name_H-M_alt 'P 1'
_space_group_IT_number 1
_space_group_name_Hall 'P 1'
_cell_length_a 9.3086
_cell_length_b 9.3086
_cell_length_c 7.9591
_cell_angle_alpha 54.21
_cell_angle_beta 54.21
_cell_angle_gamma 60.00
loop_
_atom_site_label
_atom_site_type_symbol
_atom_site_fract_x
_atom_site_fract_y
_atom_site_fract_z
Sc1 Sc 0.0485 0.3797 0.6993
Sc2 Sc 0.3797 0.8725 0.6993
Sc3 Sc 0.1275 0.9515 0.3007
Sc4 Sc 0.6203 0.1275 0.3007
Sc5 Sc 0.2251 0.2251 0.3246
Sc6 Sc 0.8725 0.0485 0.6993
Sc7 Sc 0.9515 0.6203 0.3007
Sc8 Sc 0.7749 0.7749 0.6754
Nd1 Nd 0.6212 0.4273 0.7833
Nd2 Nd 0.1682 0.6212 0.7833
Nd3 Nd 0.3788 0.5727 0.2167
Nd4 Nd 0.5727 0.8318 0.2167
Nd5 Nd 0.8318 0.3788 0.2167
Nd6 Nd 0.4273 0.1682 0.7833
Dy1 Dy 0.0000 0.0000 0.0000
```



[11]
VASP calculation (PBE) on a relaxed Mg2Zn3Se4 crystal.

Calculated volume = 24.10 A^3/atom
Formation energy from raw total energies = -0.593 eV/atom
Fermi-level density of states = 0.21 states/eV per atom
Crystal system = monoclinic

```
data_Mg2Zn3Se4
_space_group_name_H-M_alt 'P 1'
_space_group_IT_number 1
_space_group_name_Hall 'P 1'
_cell_length_a 7.3267
_cell_length_b 7.3267
_cell_length_c 9.0678
_cell_angle_alpha 63.29
_cell_angle_beta 63.29
_cell_angle_gamma 30.24
loop_
_atom_site_label
_atom_site_type_symbol
_atom_site_fract_x
_atom_site_fract_y
_atom_site_fract_z
Zn1 Zn 0.9252 0.9252 0.6432
Zn2 Zn 0.0000 0.0000 0.0000
Zn3 Zn 0.0748 0.0748 0.3568
Mg1 Mg 0.3410 0.3410 0.3617
Mg2 Mg 0.6590 0.6590 0.6383
Se1 Se 0.5398 0.5398 0.1602
Se2 Se 0.2671 0.2671 0.6857
Se3 Se 0.7329 0.7329 0.3143
Se4 Se 0.4602 0.4602 0.8398
```



[12]
VASP calculation (PBE) on a relaxed Li2ZrTl2 crystal.

Calculated volume = 21.05 A^3/atom
Fermi-level density of states = 0.81 states/eV per atom
Polymorph energy (0 for the lowest one) = 0.34 eV per formula unit
Crystal system = tetragonal

```
data_Li2ZrTl2
_space_group_name_H-M_alt 'P 1'
_space_group_IT_number 1
_space_group_name_Hall 'P 1'
_cell_length_a 8.1704
_cell_length_b 8.1704
_cell_length_c 3.1531
_cell_angle_alpha 90.00
_cell_angle_beta 90.00
_cell_angle_gamma 90.00
loop_
_atom_site_label
_atom_site_type_symbol
_atom_site_fract_x
_atom_site_fract_y
_atom_site_fract_z
Li1 Li 0.8488 0.3488 0.5000
Li2 Li 0.6512 0.8488 0.5000
Li3 Li 0.3488 0.1512 0.5000
Li4 Li 0.1512 0.6512 0.5000
Zr1 Zr 0.5000 0.5000 0.0000
Zr2 Zr 0.0000 0.0000 0.0000
Tl1 Tl 0.1490 0.3510 0.0000
Tl2 Tl 0.8510 0.6490 0.0000
Tl3 Tl 0.3510 0.8510 0.0000
Tl4 Tl 0.6490 0.1490 0.0000
```